No. 1
## RbMg2In2 (GGA-PBEsol)

Data for crystalline RbMg2In2 at its relaxed geometry.

abc: 9.3537 9.3537 3.1737
angles: 90.00 90.00 90.00
With the nearest neighbours (Å) after each atom.
Positions (direct):
Rb (0.0000, 0.0000, 0.0000)  2 Rb 3.17
Rb (0.5000, 0.5000, 0.0000)  2 Rb 3.17
Mg (0.1383, 0.3617, 0.5000)  6 In 3.13-3.22, 2 Mg 3.17
Mg (0.3617, 0.8617, 0.5000)  6 In 3.13-3.22, 2 Mg 3.17
Mg (0.6383, 0.1383, 0.5000)  6 In 3.13-3.22, 2 Mg 3.17
Mg (0.8617, 0.6383, 0.5000)  6 In 3.13-3.22, 2 Mg 3.17
In (0.1502, 0.6502, 0.0000)  6 Mg 3.13-3.22, 2 In 3.17
In (0.3498, 0.1502, 0.0000)  6 Mg 3.13-3.22, 2 In 3.17
In (0.6502, 0.8498, 0.0000)  6 Mg 3.13-3.22, 2 In 3.17
In (0.8498, 0.3498, 0.0000)  6 Mg 3.13-3.22, 2 In 3.17

Computed properties:
Total magnetization   0.00 μB per atom

=====

No. 2
## YLuB8Rh8 (GGA-PBEsol)

Data for crystalline YLuB8Rh8 at its relaxed geometry.

abc: 5.2679 5.2679 7.3406
angles: 90.00 90.00 90.00
With the nearest neighbours (Å) after each atom.
Positions (direct):
Y (0.0000, 0.0000, 0.0000)  12 Rh 2.92-3.14, 12 B 2.99-3.11
Lu (0.5000, 0.5000, 0.5000)  12 Rh 2.90-3.13, 12 B 2.99-3.11
B (0.0000, 0.3293, 0.3514)  1 B 1.80
B (0.0000, 0.6707, 0.3514)  1 B 1.80
B (0.1702, 0.5000, 0.8507)  1 B 1.79
B (0.3293, 0.0000, 0.6486)  1 B 1.80
B (0.5000, 0.1702, 0.1493)  1 B 1.79
B (0.5000, 0.8298, 0.1493)  1 B 1.79
B (0.6707, 0.0000, 0.6486)  1 B 1.80
B (0.8298, 0.5000, 0.8507)  1 B 1.79
Rh (0.0000, 0.2492, 0.6444)  5 B 2.18-2.20
Rh (0.0000, 0.7508, 0.6444)  5 B 2.18-2.20
Rh (0.2492, 0.0000, 0.3556)  5 B 2.18-2.20
Rh (0.2519, 0.5000, 0.1472)  5 B 2.17-2.22
Rh (0.5000, 0.2519, 0.8528)  5 B 2.17-2.22
Rh (0.5000, 0.7481, 0.8528)  5 B 2.17-2.22
Rh (0.7481, 0.5000, 0.1472)  5 B 2.17-2.22
Rh (0.7508, 0.0000, 0.3556)  5 B 2.18-2.20

Computed properties:
Total magnetization   0.00 μB per atom

=====

No. 3
## Mg2Co12P7 (GGA-PBEsol)

Data for crystalline Mg2Co12P7 at its relaxed geometry.

abc: 8.8704 8.8704 3.4169
angles: 90.00 90.00 120.00
With the nearest neighbours (Å) after each atom.
Positions (direct):
Mg (0.0000, 0.0000, 0.0000)  6 P 2.75, 6 Co 2.79
Mg (0.3333, 0.6667, 0.5000)  6 P 2.75, 9 Co 2.82-3.02
Co (0.0434, 0.2675, 0.5000)  4 P 2.17-2.26
Co (0.1082, 0.7149, 0.0000)  4 P 2.16-2.25
Co (0.2241, 0.9566, 0.5000)  4 P 2.17-2.26
Co (0.2851, 0.3933, 0.0000)  4 P 2.16-2.25
Co (0.4277, 0.1997, 0.0000)  3 P 2.21-2.32
Co (0.5141, 0.4549, 0.5000)  4 P 2.11-2.19
Co (0.5451, 0.0593, 0.5000)  4 P 2.11-2.19
Co (0.6067, 0.8918, 0.0000)  4 P 2.16-2.25
Co (0.7325, 0.7759, 0.5000)  4 P 2.17-2.26
Co (0.7721, 0.5723, 0.0000)  3 P 2.21-2.32
Co (0.8003, 0.2279, 0.0000)  3 P 2.21-2.32
Co (0.9407, 0.4859, 0.5000)  4 P 2.11-2.19
P (0.0724, 0.4464, 0.0000)  7 Co 2.16-2.26
P (0.2610, 0.2178, 0.5000)  7 Co 2.17-2.32
P (0.3741, 0.9276, 0.0000)  7 Co 2.16-2.26
P (0.5536, 0.6259, 0.0000)  7 Co 2.16-2.26
P (0.6667, 0.3333, 0.5000)  3 Co 2.11
P (0.7822, 0.0432, 0.5000)  7 Co 2.17-2.32
P (0.9568, 0.7390, 0.5000)  7 Co 2.17-2.32

Computed properties:
Total magnetization   0.00 μB per atom

=====

No. 4
## Ge3PI (GGA-PBEsol)

Data for crystalline Ge3PI at its relaxed geometry.

abc: 4.9217 4.9217 4.9217
angles: 90.00 90.00 90.00
With the nearest neighbours (Å) after each atom.
Positions (direct):
Ge (0.0000, 0.0000, 0.5000)  2 P 2.46
Ge (0.0000, 0.5000, 0.0000)  2 P 2.46
Ge (0.5000, 0.0000, 0.0000)  2 P 2.46
P (0.0000, 0.0000, 0.0000)  6 Ge 2.46
I (0.5000, 0.5000, 0.5000)  12 Ge 3.48

Computed properties:
Total magnetization   0.00 μB per atom

=====

It is found that the raw total energy values, taken in the order of the records, are -2.135; -8.029; -7.229; -3.884 eV/atom.